No. 1
BeTc4 | GGA-PBE | relaxed

Computed properties:
Its energy is -42.38 eV/f.u. For the offset from the most stable computed form, the calculation gives 56.27 kJ per mole of atoms. Its magnetic moment is 0.0 μB per formula unit.

The structure in CIF format:
```
data_BeTc4
_chemical_formula_sum 'Be1 Tc4'
_symmetry_space_group_name_H-M 'P 1'
_symmetry_Int_Tables_number 1
_symmetry_space_group_name_Hall 'P 1'
_cell_length_a 4.103
_cell_length_b 4.103
_cell_length_c 4.103
_cell_angle_alpha 90.00
_cell_angle_beta 90.00
_cell_angle_gamma 90.00
loop_
_atom_site_label
_atom_site_type_symbol
_atom_site_fract_x
_atom_site_fract_y
_atom_site_fract_z
Be1 Be 0.000 0.000 0.000
Tc1 Tc 0.000 0.000 0.500
Tc2 Tc 0.000 0.500 0.000
Tc3 Tc 0.500 0.000 0.000
Tc4 Tc 0.500 0.500 0.500
```



No. 2
BeTc | GGA-PBE | relaxed

Computed properties:
Its energy is -14.27 eV/f.u. For the offset from the most stable computed form, the calculation gives 14.29 kJ per mole of atoms. Its magnetic moment is 0.0 μB per formula unit.

The structure in CIF format:
```
data_BeTc
_chemical_formula_sum 'Be4 Tc4'
_symmetry_space_group_name_H-M 'P 1'
_symmetry_Int_Tables_number 1
_symmetry_space_group_name_Hall 'P 1'
_cell_length_a 4.439
_cell_length_b 4.230
_cell_length_c 4.998
_cell_angle_alpha 90.00
_cell_angle_beta 90.00
_cell_angle_gamma 90.00
loop_
_atom_site_label
_atom_site_type_symbol
_atom_site_fract_x
_atom_site_fract_y
_atom_site_fract_z
Be1 Be 0.087 0.250 0.129
Be2 Be 0.413 0.750 0.629
Be3 Be 0.587 0.250 0.371
Be4 Be 0.913 0.750 0.871
Tc1 Tc 0.086 0.250 0.628
Tc2 Tc 0.414 0.750 0.128
Tc3 Tc 0.586 0.250 0.872
Tc4 Tc 0.914 0.750 0.372
```



No. 3
BeTc3 | GGA-PBE | relaxed

Computed properties:
Its energy is -34.87 eV/f.u. For the offset from the most stable computed form, the calculation gives 5.67 kJ per mole of atoms. Its magnetic moment is 0.0 μB per formula unit.

The structure in CIF format:
```
data_BeTc3
_chemical_formula_sum 'Be1 Tc3'
_symmetry_space_group_name_H-M 'P 1'
_symmetry_Int_Tables_number 1
_symmetry_space_group_name_Hall 'P 1'
_cell_length_a 4.938
_cell_length_b 4.938
_cell_length_c 4.938
_cell_angle_alpha 144.42
_cell_angle_beta 130.42
_cell_angle_gamma 62.51
loop_
_atom_site_label
_atom_site_type_symbol
_atom_site_fract_x
_atom_site_fract_y
_atom_site_fract_z
Be1 Be 0.000 0.000 0.000
Tc1 Tc 0.242 0.742 0.500
Tc2 Tc 0.500 0.500 0.000
Tc3 Tc 0.758 0.258 0.500
```



No. 4
BeTc | GGA-PBE | relaxed

Computed properties:
Its energy is -13.28 eV/f.u. For the offset from the most stable computed form, the calculation gives 62.05 kJ per mole of atoms. Its magnetic moment is 0.0 μB per formula unit.

The structure in CIF format:
```
data_BeTc
_chemical_formula_sum 'Be4 Tc4'
_symmetry_space_group_name_H-M 'P 1'
_symmetry_Int_Tables_number 1
_symmetry_space_group_name_Hall 'P 1'
_cell_length_a 4.237
_cell_length_b 4.237
_cell_length_c 6.698
_cell_angle_alpha 90.00
_cell_angle_beta 90.00
_cell_angle_gamma 120.00
loop_
_atom_site_label
_atom_site_type_symbol
_atom_site_fract_x
_atom_site_fract_y
_atom_site_fract_z
Be1 Be 0.333 0.667 0.091
Be2 Be 0.333 0.667 0.409
Be3 Be 0.667 0.333 0.591
Be4 Be 0.667 0.333 0.909
Tc1 Tc 0.000 0.000 0.250
Tc2 Tc 0.000 0.000 0.750
Tc3 Tc 0.333 0.667 0.750
Tc4 Tc 0.667 0.333 0.250
```



No. 5
BeTc | GGA-PBE | relaxed

Computed properties:
Its energy is -10.78 eV/f.u. For the offset from the most stable computed form, the calculation gives 182.66 kJ per mole of atoms. Its magnetic moment is 0.3 μB per formula unit.

The structure in CIF format:
```
data_BeTc
_chemical_formula_sum 'Be4 Tc4'
_symmetry_space_group_name_H-M 'P 1'
_symmetry_Int_Tables_number 1
_symmetry_space_group_name_Hall 'P 1'
_cell_length_a 6.132
_cell_length_b 6.132
_cell_length_c 6.132
_cell_angle_alpha 109.47
_cell_angle_beta 109.47
_cell_angle_gamma 109.47
loop_
_atom_site_label
_atom_site_type_symbol
_atom_site_fract_x
_atom_site_fract_y
_atom_site_fract_z
Be1 Be 0.000 0.000 0.633
Be2 Be 0.000 0.633 0.000
Be3 Be 0.367 0.367 0.367
Be4 Be 0.633 0.000 0.000
Tc1 Tc 0.000 0.000 0.261
Tc2 Tc 0.000 0.261 0.000
Tc3 Tc 0.261 0.000 0.000
Tc4 Tc 0.739 0.739 0.739
```



No. 6
Be5Tc3 | GGA-PBE | relaxed

Computed properties:
Its energy is -49.95 eV/f.u. For the offset from the most stable computed form, the calculation gives 6.51 kJ per mole of atoms. Its magnetic moment is 0.0 μB per formula unit.

The structure in CIF format:
```
data_Be5Tc3
_chemical_formula_sum 'Be10 Tc6'
_symmetry_space_group_name_H-M 'P 1'
_symmetry_Int_Tables_number 1
_symmetry_space_group_name_Hall 'P 1'
_cell_length_a 4.278
_cell_length_b 6.733
_cell_length_c 6.737
_cell_angle_alpha 87.93
_cell_angle_beta 71.80
_cell_angle_gamma 71.79
loop_
_atom_site_label
_atom_site_type_symbol
_atom_site_fract_x
_atom_site_fract_y
_atom_site_fract_z
Be1 Be 0.054 0.155 0.239
Be2 Be 0.247 0.302 0.692
Be3 Be 0.249 0.004 0.497
Be4 Be 0.254 0.807 0.198
Be5 Be 0.446 0.262 0.345
Be6 Be 0.554 0.738 0.655
Be7 Be 0.746 0.193 0.802
Be8 Be 0.751 0.996 0.503
Be9 Be 0.753 0.698 0.308
Be10 Be 0.946 0.845 0.761
Tc1 Tc 0.198 0.608 0.488
Tc2 Tc 0.251 0.563 0.935
Tc3 Tc 0.300 0.013 0.892
Tc4 Tc 0.700 0.987 0.108
Tc5 Tc 0.749 0.437 0.065
Tc6 Tc 0.802 0.392 0.512
```



No. 7
Be3Tc | GGA-PBE | relaxed

Computed properties:
Its energy is -21.52 eV/f.u. For the offset from the most stable computed form, the calculation gives 31.43 kJ per mole of atoms. Its magnetic moment is 0.0 μB per formula unit.

The structure in CIF format:
```
data_Be3Tc
_chemical_formula_sum 'Be3 Tc1'
_symmetry_space_group_name_H-M 'P 1'
_symmetry_Int_Tables_number 1
_symmetry_space_group_name_Hall 'P 1'
_cell_length_a 4.237
_cell_length_b 4.237
_cell_length_c 2.489
_cell_angle_alpha 90.00
_cell_angle_beta 90.00
_cell_angle_gamma 111.82
loop_
_atom_site_label
_atom_site_type_symbol
_atom_site_fract_x
_atom_site_fract_y
_atom_site_fract_z
Be1 Be 0.000 0.000 0.000
Be2 Be 0.000 0.500 0.500
Be3 Be 0.500 0.000 0.500
Tc1 Tc 0.500 0.500 0.000
```



No. 8
BeTc | GGA-PBE | relaxed

Computed properties:
Its energy is -14.15 eV/f.u. For the offset from the most stable computed form, the calculation gives 20.26 kJ per mole of atoms. Its magnetic moment is 0.0 μB per formula unit.

The structure in CIF format:
```
data_BeTc
_chemical_formula_sum 'Be2 Tc2'
_symmetry_space_group_name_H-M 'P 1'
_symmetry_Int_Tables_number 1
_symmetry_space_group_name_Hall 'P 1'
_cell_length_a 2.790
_cell_length_b 2.790
_cell_length_c 5.952
_cell_angle_alpha 90.00
_cell_angle_beta 90.00
_cell_angle_gamma 90.00
loop_
_atom_site_label
_atom_site_type_symbol
_atom_site_fract_x
_atom_site_fract_y
_atom_site_fract_z
Be1 Be 0.250 0.250 0.093
Be2 Be 0.750 0.750 0.907
Tc1 Tc 0.250 0.250 0.645
Tc2 Tc 0.750 0.750 0.355
```



No. 9
Be17Tc2 | GGA-PBE | relaxed

Computed properties:
Its energy is -87.30 eV/f.u. Its magnetic moment is 0.0 μB per formula unit.

The structure in CIF format:
```
data_Be17Tc2
_chemical_formula_sum 'Be17 Tc2'
_symmetry_space_group_name_H-M 'P 1'
_symmetry_Int_Tables_number 1
_symmetry_space_group_name_Hall 'P 1'
_cell_length_a 5.459
_cell_length_b 5.459
_cell_length_c 5.459
_cell_angle_alpha 83.04
_cell_angle_beta 83.04
_cell_angle_gamma 83.04
loop_
_atom_site_label
_atom_site_type_symbol
_atom_site_fract_x
_atom_site_fract_y
_atom_site_fract_z
Be1 Be 0.000 0.000 0.500
Be2 Be 0.000 0.303 0.697
Be3 Be 0.000 0.500 0.000
Be4 Be 0.000 0.697 0.303
Be5 Be 0.102 0.102 0.102
Be6 Be 0.161 0.649 0.649
Be7 Be 0.303 0.000 0.697
Be8 Be 0.303 0.697 0.000
Be9 Be 0.351 0.351 0.839
Be10 Be 0.351 0.839 0.351
Be11 Be 0.500 0.000 0.000
Be12 Be 0.649 0.161 0.649
Be13 Be 0.649 0.649 0.161
Be14 Be 0.697 0.000 0.303
Be15 Be 0.697 0.303 0.000
Be16 Be 0.839 0.351 0.351
Be17 Be 0.898 0.898 0.898
Tc1 Tc 0.338 0.338 0.338
Tc2 Tc 0.662 0.662 0.662
```



No. 10
BeTc3 | GGA-PBE | relaxed

Computed properties:
Its energy is -34.84 eV/f.u. For the offset from the most stable computed form, the calculation gives 6.56 kJ per mole of atoms. Its magnetic moment is 0.0 μB per formula unit.

The structure in CIF format:
```
data_BeTc3
_chemical_formula_sum 'Be2 Tc6'
_symmetry_space_group_name_H-M 'P 1'
_symmetry_Int_Tables_number 1
_symmetry_space_group_name_Hall 'P 1'
_cell_length_a 4.356
_cell_length_b 5.121
_cell_length_c 4.775
_cell_angle_alpha 90.00
_cell_angle_beta 90.00
_cell_angle_gamma 90.00
loop_
_atom_site_label
_atom_site_type_symbol
_atom_site_fract_x
_atom_site_fract_y
_atom_site_fract_z
Be1 Be 0.250 0.250 0.157
Be2 Be 0.750 0.750 0.843
Tc1 Tc 0.250 0.507 0.671
Tc2 Tc 0.250 0.750 0.150
Tc3 Tc 0.250 0.993 0.671
Tc4 Tc 0.750 0.007 0.329
Tc5 Tc 0.750 0.250 0.850
Tc6 Tc 0.750 0.493 0.329
```



No. 11
Be4Tc3 | GGA-PBE | relaxed

Computed properties:
Its energy is -43.37 eV/f.u. For the offset from the most stable computed form, the calculation gives 40.74 kJ per mole of atoms. Its magnetic moment is 0.2 μB per formula unit.

The structure in CIF format:
```
data_Be4Tc3
_chemical_formula_sum 'Be4 Tc3'
_symmetry_space_group_name_H-M 'P 1'
_symmetry_Int_Tables_number 1
_symmetry_space_group_name_Hall 'P 1'
_cell_length_a 4.956
_cell_length_b 4.956
_cell_length_c 4.233
_cell_angle_alpha 90.00
_cell_angle_beta 90.00
_cell_angle_gamma 120.00
loop_
_atom_site_label
_atom_site_type_symbol
_atom_site_fract_x
_atom_site_fract_y
_atom_site_fract_z
Be1 Be 0.000 0.000 0.228
Be2 Be 0.000 0.000 0.772
Be3 Be 0.333 0.667 0.500
Be4 Be 0.667 0.333 0.500
Tc1 Tc 0.000 0.500 0.000
Tc2 Tc 0.500 0.000 0.000
Tc3 Tc 0.500 0.500 0.000
```



No. 12
Be2Tc | GGA-PBE | relaxed

Computed properties:
Its energy is -17.86 eV/f.u. For the offset from the most stable computed form, the calculation gives 36.98 kJ per mole of atoms. Its magnetic moment is 0.0 μB per formula unit.

The structure in CIF format:
```
data_Be2Tc
_chemical_formula_sum 'Be4 Tc2'
_symmetry_space_group_name_H-M 'P 1'
_symmetry_Int_Tables_number 1
_symmetry_space_group_name_Hall 'P 1'
_cell_length_a 6.123
_cell_length_b 6.123
_cell_length_c 4.029
_cell_angle_alpha 90.00
_cell_angle_beta 90.00
_cell_angle_gamma 155.40
loop_
_atom_site_label
_atom_site_type_symbol
_atom_site_fract_x
_atom_site_fract_y
_atom_site_fract_z
Be1 Be 0.097 0.903 0.750
Be2 Be 0.253 0.747 0.250
Be3 Be 0.747 0.253 0.750
Be4 Be 0.903 0.097 0.250
Tc1 Tc 0.418 0.582 0.750
Tc2 Tc 0.582 0.418 0.250
```